# meta-GGA SCAN Sr2ScTi, PBEsol geometry
data_Sr2ScTi
_chemical_formula_sum 'Sr8 Sc4 Ti4'
_cell_length_a 7.982
_cell_length_b 7.982
_cell_length_c 7.982
_cell_angle_alpha 90.00
_cell_angle_beta 90.00
_cell_angle_gamma 90.00
_symmetry_space_group_name_H-M 'F m -3 m'
_symmetry_Int_Tables_number 225
_symmetry_space_group_name_Hall '-F 4 2 3'
loop_
_atom_site_label
_atom_site_fract_x
_atom_site_fract_y
_atom_site_fract_z
Sr1 0.250 0.250 0.250
Sc1 0.000 0.000 0.000
Ti1 0.000 0.000 0.500
# * density of states at the Fermi level: 12.037 states/eV/f.u.
# * volume: 31.78 Å³ per atom
# * calculated formation energy: 285 kJ/mol of formula units



# meta-GGA SCAN SrSc2Tl, PBEsol geometry
data_SrSc2Tl
_chemical_formula_sum 'Sr2 Sc4 Tl2'
_cell_length_a 3.899
_cell_length_b 5.067
_cell_length_c 10.975
_cell_angle_alpha 90.00
_cell_angle_beta 90.00
_cell_angle_gamma 90.00
_symmetry_space_group_name_H-M 'I m m 2'
_symmetry_Int_Tables_number 44
_symmetry_space_group_name_Hall 'I 2 -2'
loop_
_atom_site_label
_atom_site_fract_x
_atom_site_fract_y
_atom_site_fract_z
Sr1 0.000 0.000 0.000
Sc1 0.000 0.000 0.447
Sc2 0.000 0.500 0.220
Tl1 0.000 0.500 0.744
# * density of states at the Fermi level: 4.595 states/eV/f.u.
# * volume: 27.10 Å³ per atom
# * calculated formation energy: -21 kJ/mol of formula units



# meta-GGA SCAN SrScTl2, PBEsol geometry
data_SrScTl2
_chemical_formula_sum 'Sr1 Sc1 Tl2'
_cell_length_a 3.634
_cell_length_b 3.634
_cell_length_c 8.768
_cell_angle_alpha 90.00
_cell_angle_beta 90.00
_cell_angle_gamma 90.00
_symmetry_space_group_name_H-M 'P 4 m m'
_symmetry_Int_Tables_number 99
_symmetry_space_group_name_Hall 'P 4 -2'
loop_
_atom_site_label
_atom_site_fract_x
_atom_site_fract_y
_atom_site_fract_z
Sr1 0.000 0.000 0.000
Sc1 0.500 0.500 0.687
Tl1 0.000 0.000 0.496
Tl2 0.500 0.500 0.272
# * density of states at the Fermi level: 3.505 states/eV/f.u.
# * volume: 28.95 Å³ per atom
# * calculated formation energy: -42 kJ/mol of formula units



# meta-GGA SCAN SrSc2Tl, PBEsol geometry
data_SrSc2Tl
_chemical_formula_sum 'Sr1 Sc2 Tl1'
_cell_length_a 3.522
_cell_length_b 5.038
_cell_length_c 6.509
_cell_angle_alpha 90.00
_cell_angle_beta 103.83
_cell_angle_gamma 90.00
_symmetry_space_group_name_H-M 'P 1 2/m 1'
_symmetry_Int_Tables_number 10
_symmetry_space_group_name_Hall '-P 2y'
loop_
_atom_site_label
_atom_site_fract_x
_atom_site_fract_y
_atom_site_fract_z
Sr1 0.000 0.000 0.000
Sc1 0.327 0.500 0.706
Tl1 0.500 0.000 0.500
# * density of states at the Fermi level: 4.014 states/eV/f.u.
# * volume: 28.04 Å³ per atom
# * calculated formation energy: -14 kJ/mol of formula units



# meta-GGA SCAN SrScTl2, PBEsol geometry
data_SrScTl2
_chemical_formula_sum 'Sr1 Sc1 Tl2'
_cell_length_a 3.747
_cell_length_b 3.747
_cell_length_c 7.608
_cell_angle_alpha 90.00
_cell_angle_beta 90.00
_cell_angle_gamma 90.00
_symmetry_space_group_name_H-M 'P 4/m m m'
_symmetry_Int_Tables_number 123
_symmetry_space_group_name_Hall '-P 4 2'
loop_
_atom_site_label
_atom_site_fract_x
_atom_site_fract_y
_atom_site_fract_z
Sr1 0.000 0.000 0.000
Sc1 0.000 0.000 0.500
Tl1 0.500 0.500 0.287
# * density of states at the Fermi level: 2.548 states/eV/f.u.
# * volume: 26.70 Å³ per atom
# * calculated formation energy: -204 kJ/mol of formula units



# meta-GGA SCAN SrScW2, PBEsol geometry
data_SrScW2
_chemical_formula_sum 'Sr1 Sc1 W2'
_cell_length_a 2.828
_cell_length_b 4.723
_cell_length_c 6.669
_cell_angle_alpha 90.00
_cell_angle_beta 97.55
_cell_angle_gamma 90.00
_symmetry_space_group_name_H-M 'P 1 2/m 1'
_symmetry_Int_Tables_number 10
_symmetry_space_group_name_Hall '-P 2y'
loop_
_atom_site_label
_atom_site_fract_x
_atom_site_fract_y
_atom_site_fract_z
Sr1 0.000 0.000 0.000
Sc1 0.000 0.000 0.500
W1 0.349 0.500 0.323
# * density of states at the Fermi level: 3.305 states/eV/f.u.
# * volume: 22.08 Å³ per atom
# * calculated formation energy: 317 kJ/mol of formula units



# meta-GGA SCAN SrScW2, PBEsol geometry
data_SrScW2
_chemical_formula_sum 'Sr2 Sc2 W4'
_cell_length_a 5.562
_cell_length_b 10.147
_cell_length_c 2.773
_cell_angle_alpha 90.00
_cell_angle_beta 90.00
_cell_angle_gamma 90.00
_symmetry_space_group_name_H-M 'C m m m'
_symmetry_Int_Tables_number 65
_symmetry_space_group_name_Hall '-C 2 2'
loop_
_atom_site_label
_atom_site_fract_x
_atom_site_fract_y
_atom_site_fract_z
Sr1 0.000 0.000 0.000
Sc1 0.000 0.500 0.000
W1 0.250 0.250 0.500
# * density of states at the Fermi level: 3.913 states/eV/f.u.
# * volume: 19.57 Å³ per atom
# * calculated formation energy: 408 kJ/mol of formula units



# meta-GGA SCAN SrScW2, PBEsol geometry
data_SrScW2
_chemical_formula_sum 'Sr2 Sc2 W4'
_cell_length_a 3.351
_cell_length_b 4.857
_cell_length_c 10.243
_cell_angle_alpha 90.00
_cell_angle_beta 90.00
_cell_angle_gamma 90.00
_symmetry_space_group_name_H-M 'C m m 2'
_symmetry_Int_Tables_number 35
_symmetry_space_group_name_Hall 'C 2 -2'
loop_
_atom_site_label
_atom_site_fract_x
_atom_site_fract_y
_atom_site_fract_z
Sr1 0.000 0.000 0.000
Sc1 0.000 0.500 0.322
W1 0.000 0.000 0.543
W2 0.000 0.500 0.735
# * density of states at the Fermi level: 4.212 states/eV/f.u.
# * volume: 20.84 Å³ per atom
# * calculated formation energy: 287 kJ/mol of formula units



# meta-GGA SCAN SrScW2, PBEsol geometry
data_SrScW2
_chemical_formula_sum 'Sr2 Sc2 W4'
_cell_length_a 3.418
_cell_length_b 5.102
_cell_length_c 10.156
_cell_angle_alpha 90.00
_cell_angle_beta 90.00
_cell_angle_gamma 90.00
_symmetry_space_group_name_H-M 'I m m 2'
_symmetry_Int_Tables_number 44
_symmetry_space_group_name_Hall 'I 2 -2'
loop_
_atom_site_label
_atom_site_fract_x
_atom_site_fract_y
_atom_site_fract_z
Sr1 0.000 0.000 0.000
Sc1 0.000 0.500 0.221
W1 0.000 0.000 0.436
W2 0.000 0.500 0.766
# * density of states at the Fermi level: 3.507 states/eV/f.u.
# * volume: 22.14 Å³ per atom
# * calculated formation energy: 304 kJ/mol of formula units



# meta-GGA SCAN SrScW2, PBEsol geometry
data_SrScW2
_chemical_formula_sum 'Sr4 Sc4 W8'
_cell_length_a 6.800
_cell_length_b 6.800
_cell_length_c 6.800
_cell_angle_alpha 90.00
_cell_angle_beta 90.00
_cell_angle_gamma 90.00
_symmetry_space_group_name_H-M 'F -4 3 m'
_symmetry_Int_Tables_number 216
_symmetry_space_group_name_Hall 'F -4 2 3'
loop_
_atom_site_label
_atom_site_fract_x
_atom_site_fract_y
_atom_site_fract_z
Sr1 0.000 0.000 0.000
Sc1 0.250 0.250 0.750
W1 0.000 0.000 0.500
W2 0.250 0.250 0.250
# * density of states at the Fermi level: 3.819 states/eV/f.u.
# * volume: 19.65 Å³ per atom
# * calculated formation energy: 407 kJ/mol of formula units



# meta-GGA SCAN Sr2ScW2, PBEsol geometry
data_Sr2ScW2
_chemical_formula_sum 'Sr4 Sc2 W4'
_cell_length_a 4.261
_cell_length_b 4.261
_cell_length_c 14.207
_cell_angle_alpha 90.00
_cell_angle_beta 90.00
_cell_angle_gamma 90.00
_symmetry_space_group_name_H-M 'I 4/m m m'
_symmetry_Int_Tables_number 139
_symmetry_space_group_name_Hall '-I 4 2'
loop_
_atom_site_label
_atom_site_fract_x
_atom_site_fract_y
_atom_site_fract_z
Sr1 0.000 0.500 0.250
Sc1 0.000 0.000 0.000
W1 0.000 0.000 0.422
# * density of states at the Fermi level: 6.752 states/eV/f.u.
# * volume: 25.80 Å³ per atom
# * calculated formation energy: 669 kJ/mol of formula units



# meta-GGA SCAN SrScW2, PBEsol geometry
data_SrScW2
_chemical_formula_sum 'Sr1 Sc1 W2'
_cell_length_a 3.653
_cell_length_b 3.653
_cell_length_c 6.794
_cell_angle_alpha 90.00
_cell_angle_beta 90.00
_cell_angle_gamma 90.00
_symmetry_space_group_name_H-M 'P 4/m m m'
_symmetry_Int_Tables_number 123
_symmetry_space_group_name_Hall '-P 4 2'
loop_
_atom_site_label
_atom_site_fract_x
_atom_site_fract_y
_atom_site_fract_z
Sr1 0.000 0.000 0.000
Sc1 0.000 0.000 0.500
W1 0.500 0.500 0.328
# * density of states at the Fermi level: 5.768 states/eV/f.u.
# * volume: 22.67 Å³ per atom
# * calculated formation energy: 358 kJ/mol of formula units